{
  "formula": "Ac2Si3Hg",
  "functional": "PBE-GGA",
  "state": "relaxed",
  "lattice_angstrom": [[0.000, 4.667, 7.475], [4.326, 0.000, 7.475], [4.326, 4.667, 0.000]],
  "species": ["Ac", "Ac", "Ac", "Ac", "Si", "Si", "Si", "Si", "Si", "Si", "Hg", "Hg"],
  "frac_coords": [[0.243, 0.757, 0.243], [0.250, 0.250, 0.250], [0.750, 0.750, 0.750], [0.757, 0.243, 0.757], [0.158, 0.682, 0.842], [0.161, 0.161, 0.839], [0.318, 0.842, 0.682], [0.682, 0.158, 0.318], [0.839, 0.839, 0.161], [0.842, 0.318, 0.158], [0.335, 0.335, 0.665], [0.665, 0.665, 0.335]],
  "dos_at_fermi_per_ev_cell": 4.6,
  "raw_formation_energy_ev_per_atom": -0.52
}